A plane-wave DFT calculation with PBE was carried out for a relaxed structure of PmNbOs.

Calculated values
* total magnetic moment: 0.0 μB per formula unit
* electronic total energy: -0.5938 Ry/atom
* formation enthalpy at 0 K: 0.610 eV/atom

Cell: 6.4400 6.4400 6.4400 Å, 90.00 90.00 90.00°
Last column: nearest neighbours and their distance in Å.
Space group F-43m (No. 216)
Inequivalent atoms, fractional coordinates:
Pm 0.0000 0.0000 0.0000 [4 per cell]  4 Nb 2.79
Nb 0.2500 0.2500 0.7500 [4 per cell]  4 Os 2.79, 4 Pm 2.79
Os 0.0000 0.0000 0.5000 [4 per cell]  4 Nb 2.79

A plane-wave DFT calculation with PBE was carried out for a relaxed structure of Ac2SnPt2.

Calculated values
* total magnetic moment: 0.0 μB per formula unit
* electronic total energy: -0.4345 Ry/atom

Cell: 8.1105 8.1105 4.1231 Å, 90.00 90.00 90.00°
Last column: nearest neighbours and their distance in Å.
Space group P4/mbm (No. 127)
Inequivalent atoms, fractional coordinates:
Ac 0.1743 0.3257 0.0000 [4 per cell]  6 Pt 3.06-3.23
Sn 0.0000 0.0000 0.5000 [2 per cell]  4 Pt 3.19
Pt 0.1285 0.6285 0.5000 [4 per cell]  1 Pt 2.95, 6 Ac 3.06-3.23, 2 Sn 3.19

A plane-wave DFT calculation with PBE was carried out for a relaxed structure of Hf3FeB2.

Calculated values
* total magnetic moment: 1.4 μB per formula unit
* electronic total energy: -0.6459 Ry/atom

Cell: 3.3472 3.3472 18.8700 Å, 90.00 90.00 120.00°
Last column: nearest neighbours and their distance in Å.
Space group P6_3/mmc (No. 194)
Inequivalent atoms, fractional coordinates:
Hf 0.0000 0.0000 0.0000 [2 per cell]  6 B 2.41
Hf 0.3333 0.6667 0.1490 [4 per cell]  3 B 2.37
Fe 0.0000 0.0000 0.2500 [2 per cell]  6 Hf 2.71
B 0.3333 0.6667 0.5763 [4 per cell]  6 Hf 2.37-2.41

Please write out number 3 again, unchanged.
A plane-wave DFT calculation with PBE was carried out for a relaxed structure of Hf3FeB2.

Calculated values
* total magnetic moment: 1.4 μB per formula unit
* electronic total energy: -0.6459 Ry/atom

Cell: 3.3472 3.3472 18.8700 Å, 90.00 90.00 120.00°
Last column: nearest neighbours and their distance in Å.
Space group P6_3/mmc (No. 194)
Inequivalent atoms, fractional coordinates:
Hf 0.0000 0.0000 0.0000 [2 per cell]  6 B 2.41
Hf 0.3333 0.6667 0.1490 [4 per cell]  3 B 2.37
Fe 0.0000 0.0000 0.2500 [2 per cell]  6 Hf 2.71
B 0.3333 0.6667 0.5763 [4 per cell]  6 Hf 2.37-2.41

Q: Look up the total magnetic moment of the first one.
A: 0.0 μB per formula unit

Q: Look up the electronic total energy of the first one.
A: -0.5938 Ry/atom